PBE MgTaCoPb, optimized geometry; total DFT energy (no corrections) = -21.5 eV/cell; space-group type = F-43m, No. 216; crystal system = cubic
1.0
0.0000 3.3075 3.3075
3.3075 0.0000 3.3075
3.3075 3.3075 0.0000
Mg Ta Co Pb
1 1 1 1
Cartesian
0.0000 0.0000 0.0000
1.6537 1.6537 1.6537
4.9612 4.9612 4.9612
3.3075 3.3075 3.3075